No. 1
Here is a geometry-optimized Ca2TaNb structure from Alexandria via LeMat-Bulk. Energies are from PBE-GGA.

a = 8.450 Å, b = 8.450 Å, c = 6.623 Å
α = 50.37°, β = 50.37°, γ = 90.00°
Last column: magnetic moment on the atom in μB.
Atoms (fractional coordinates):
Nb 0.500 0.500 0.000  0.78
Nb 0.250 0.750 0.500  0.78
Ca 0.623 0.125 0.250  0.09
Ca 0.127 0.625 0.250  0.09
Ca 0.375 0.377 0.750  0.09
Ca 0.875 0.873 0.750  0.09
Ta 0.000 0.000 0.000  0.57
Ta 0.750 0.250 0.500  0.57

Values from the calculation:
Space group: I-42d, No. 122
Energy relative to the elements in eV per atom: 1.3146
DOS(E_F) in states/eV/cell: 5.74
VASP energy in eV/atom: -5.1668

No. 2
Here is a geometry-optimized CaTa3Nb structure from Alexandria via LeMat-Bulk. Energies are from PBE-GGA.

a = 4.990 Å, b = 4.990 Å, c = 4.990 Å
α = 90.00°, β = 90.00°, γ = 90.00°
Atoms (fractional coordinates):
Nb 0.000 0.000 0.000
Ca 0.500 0.500 0.500
Ta 0.000 0.500 0.000
Ta 0.000 0.000 0.500
Ta 0.500 0.000 0.000

Values from the calculation:
Space group: Pm-3m, No. 221
Energy relative to the elements in eV per atom: 1.2933
DOS(E_F) in states/eV/cell: 7.30
VASP energy in eV/atom: -8.2325

No. 3
Here is a geometry-optimized CaTb2Nb structure from Alexandria via LeMat-Bulk. Energies are from PBE-GGA.

a = 3.314 Å, b = 3.314 Å, c = 12.266 Å
α = 82.24°, β = 82.24°, γ = 60.00°
Atoms (fractional coordinates):
Nb 0.000 0.000 0.000
Tb 0.080 0.080 0.761
Tb 0.920 0.920 0.239
Ca 0.500 0.500 0.500

Values from the calculation:
Space group: R-3m, No. 166
Energy relative to the elements in eV per atom: 0.6379
DOS(E_F) in states/eV/cell: 7.12
VASP energy in eV/atom: -4.6951

No. 4
Here is a geometry-optimized CaNbTc3 structure from Alexandria via LeMat-Bulk. Energies are from PBE-GGA.

a = 4.823 Å, b = 4.823 Å, c = 4.823 Å
α = 90.00°, β = 90.00°, γ = 90.00°
Last column: magnetic moment on the atom in μB.
Atoms (fractional coordinates):
Nb 0.000 0.000 0.000  -0.14
Ca 0.500 0.500 0.500  0.02
Tc 0.000 0.500 0.000  0.91
Tc 0.000 0.000 0.500  0.95
Tc 0.500 0.000 0.000  0.76

Values from the calculation:
Space group: Pm-3m, No. 221
Energy relative to the elements in eV per atom: 1.2229
DOS(E_F) in states/eV/cell: 6.49
VASP energy in eV/atom: -7.4109

No. 5
Here is a geometry-optimized Ca2NbTc structure from Alexandria via LeMat-Bulk. Energies are from PBE-GGA.

a = 5.030 Å, b = 5.030 Å, c = 5.030 Å
α = 60.00°, β = 60.00°, γ = 60.00°
Atoms (fractional coordinates):
Nb 0.000 0.000 0.000
Ca 0.250 0.250 0.250
Ca 0.750 0.750 0.750
Tc 0.500 0.500 0.500

Values from the calculation:
Space group: Fm-3m, No. 225
Energy relative to the elements in eV per atom: 1.1259
DOS(E_F) in states/eV/cell: 10.37
VASP energy in eV/atom: -4.9838

No. 6
Here is a geometry-optimized Ca2NbTc structure from Alexandria via LeMat-Bulk. Energies are from PBE-GGA.

a = 10.959 Å, b = 10.959 Å, c = 8.089 Å
α = 47.36°, β = 47.36°, γ = 90.00°
Last column: magnetic moment on the atom in μB.
Atoms (fractional coordinates):
Nb 0.500 0.500 0.000  0.56
Nb 0.250 0.750 0.500  0.56
Ca 0.782 0.125 0.250  0.02
Ca 0.968 0.625 0.250  0.02
Ca 0.375 0.218 0.750  0.02
Ca 0.875 0.032 0.750  0.02
Tc 0.000 0.000 0.000  -0.16
Tc 0.750 0.250 0.500  -0.17

Values from the calculation:
Space group: I-42d, No. 122
Energy relative to the elements in eV per atom: 0.9169
DOS(E_F) in states/eV/cell: 10.74
VASP energy in eV/atom: -5.1928

No. 7
Here is a geometry-optimized CaNbTcTe2 structure from Alexandria via LeMat-Bulk. Energies are from PBE-GGA.

a = 5.535 Å, b = 4.722 Å, c = 5.535 Å
α = 90.00°, β = 90.00°, γ = 90.00°
Last column: magnetic moment on the atom in μB.
Atoms (fractional coordinates):
Nb 0.000 0.000 0.000  -0.23
Te 0.000 0.000 0.500  0.02
Te 0.500 0.000 0.000  0.01
Tc 0.000 0.500 0.000  1.40
Ca 0.500 0.500 0.500  0.00

Values from the calculation:
Space group: P4/mmm, No. 123
DOS(E_F) in states/eV/cell: 2.60
VASP energy in eV/atom: -5.4999
Raw formation energy in eV/atom: 0.24

No. 8
Here is a geometry-optimized CaNb3Te structure from Alexandria via LeMat-Bulk. Energies are from PBE-GGA.

a = 4.875 Å, b = 4.875 Å, c = 4.875 Å
α = 90.00°, β = 90.00°, γ = 90.00°
Last column: magnetic moment on the atom in μB.
Atoms (fractional coordinates):
Nb 0.000 0.500 0.000  0.18
Nb 0.000 0.000 0.500  0.20
Nb 0.500 0.000 0.000  0.19
Te 0.500 0.500 0.500  0.00
Ca 0.000 0.000 0.000  0.10

Values from the calculation:
Space group: Pm-3m, No. 221
DOS(E_F) in states/eV/cell: 7.38
VASP energy in eV/atom: -4.9975
Raw formation energy in eV/atom: 2.07